Record 1
Material: HfAlSn3
Method: DFT, PBE-GGA
State: relaxed

## Properties
E above lowest polymorph: 0.0 meV per atom
Space group: Pm-3m

a b c (Å): 5.516 5.516 5.516
angles (deg): 90.00 90.00 90.00
Positions (direct):
1 Al 0.500 0.500 0.500
2 Hf 0.000 0.000 0.000
3 Sn 0.000 0.500 0.000
4 Sn 0.500 0.000 0.000
5 Sn 0.000 0.000 0.500

---

Record 2
Material: Na2ScInBr
Method: DFT, PBE-GGA
State: relaxed

## Properties
Space group: P4/mmm
Formation energy from raw total energies: -0.1788 eV per atom

a b c (Å): 5.211 5.374 5.211
angles (deg): 90.00 90.00 90.00
Positions (direct):
1 Br 0.000 0.000 0.000
2 Sc 0.000 0.500 0.000
3 Na 0.500 0.000 0.000
4 Na 0.000 0.000 0.500
5 In 0.500 0.500 0.500

---

Record 3
Material: LaTm2Rh
Method: DFT, PBE-GGA
State: relaxed

## Properties
E above lowest polymorph: 133.7 meV per atom
Space group: R3m

a b c (Å): 3.922 3.922 9.251
angles (deg): 77.76 77.76 60.00
Positions (direct):
1 Rh 0.666 0.666 0.001
2 Tm 0.277 0.277 0.168
3 La 0.502 0.502 0.494
4 Tm 0.055 0.055 0.836

---

| no. | V (Å³/atom) |
| --- | --- |
| 1 | 33.56 |
| 2 | 29.19 |
| 3 | 29.87 |